# 1
NpCd2CuO6: relaxed, GGA-PBE.

## Properties
Its size of the total moment is 1.94 μB/f.u. The calculation puts the calculated total energy at -64.8 eV for the cell shown. The space group is C2/m. Its formation energy from raw total energies is -1.62 eV per atom.

Lattice parameters (Å, degrees): 5.9347 5.9347 5.3019 114.30 114.30 57.01
Element x y z (fractional)
Np 0.0000 0.0000 0.0000
Cd 0.2487 0.2487 0.6846
Cd 0.7513 0.7513 0.3154
Cu 0.5000 0.5000 0.5000
O 0.1845 0.6593 0.6603
O 0.1939 0.1939 0.0344
O 0.3407 0.8155 0.3397
O 0.6593 0.1845 0.6603
O 0.8061 0.8061 0.9656
O 0.8155 0.3407 0.3397

***

# 2
La2TcCl: relaxed, GGA-PBE.

## Properties
Its size of the total moment is 0.00 μB/f.u. The calculation puts the calculated total energy at -23.2 eV for the cell shown. The space group is I-4m2. Its formation energy from raw total energies is -0.28 eV per atom.

Lattice parameters (Å, degrees): 6.4912 6.4912 6.4912 143.71 143.71 52.25
Element x y z (fractional)
La 0.0000 0.0000 0.0000
La 0.7500 0.2500 0.5000
Tc 0.2500 0.7500 0.5000
Cl 0.5000 0.5000 0.0000